[1]
Density functional theory data (GGA-PBE) for crystalline TlSeBr4 at its relaxed geometry.

Computed properties:
Formation energy (no corrections), eV/atom: 0.41
Energy above the most stable polymorph in this dataset, meV per atom: 733

The structure in POSCAR format:
```
TlSeBr4
1.0
-4.410 -4.498 1.345
-0.175 -2.692 5.849
-4.849 1.345 4.020
Br Se Tl
4 1 1
direct
0.375 0.375 0.375
0.375 0.375 0.874
0.375 0.874 0.375
0.874 0.375 0.375
0.750 0.750 0.750
0.000 0.000 0.000
```

---

[2]
Density functional theory data (GGA-PBE) for crystalline Hf6Si2H at its relaxed geometry.

The structure in POSCAR format:
```
Hf6Si2H
1.0
-3.831 0.899 -3.966
-0.332 -6.751 -1.210
-6.135 -0.721 5.708
Hf H Si
12 2 4
direct
0.875 0.974 0.245
0.375 0.526 0.745
0.131 0.312 0.044
0.125 0.026 0.755
0.369 0.812 0.456
0.625 0.474 0.255
0.631 0.189 0.956
0.631 0.188 0.544
0.869 0.689 0.544
0.369 0.811 0.044
0.869 0.688 0.956
0.131 0.311 0.456
0.500 0.500 0.000
0.000 0.000 0.500
0.910 0.386 0.750
0.090 0.614 0.250
0.590 0.886 0.750
0.410 0.114 0.250
```

---

[3]
Density functional theory data (GGA-PBE) for crystalline ZrScSe at its relaxed geometry.

Computed properties:
Formation energy (no corrections), eV/atom: -0.58
Energy above the most stable polymorph in this dataset, meV per atom: 431

The structure in POSCAR format:
```
ZrScSe
1.0
-3.022 -2.402 2.324
-1.086 -4.161 -1.345
1.331 -3.567 2.411
Zr Se Sc
1 1 1
direct
0.000 0.000 0.000
0.750 0.750 0.750
0.500 0.500 0.500
```

---

The following DOS at the Fermi energy values (in states/eV/atom) correspond, in order, to the records above: 1.2378; 0.7482; 1.1891.
The following total DFT energy (no corrections) values (in eV per atom) correspond, in order, to the records above: -1.676; -8.699; -6.703.